[1]
TmNiRh2 | PBE | optimized geometry

```
TmNiRh2
1.0
6.323 0.000 0.000
0.000 6.323 0.000
0.000 0.000 6.323
Tm Ni Rh
4 4 8
direct
0.000 0.000 0.000
0.000 0.500 0.500
0.500 0.000 0.500
0.500 0.500 0.000
0.000 0.000 0.500
0.000 0.500 0.000
0.500 0.000 0.000
0.500 0.500 0.500
0.250 0.250 0.250
0.250 0.250 0.750
0.250 0.750 0.250
0.250 0.750 0.750
0.750 0.250 0.250
0.750 0.250 0.750
0.750 0.750 0.250
0.750 0.750 0.750
```

Summary:
Total moment ... 0.97 μB/f.u.
Energy above the most stable polymorph in this dataset ... 197 meV/atom
Energy of formation ... -1.48 eV/f.u.

[2]
Tm4Ni2Rh | PBE | optimized geometry

```
Tm4Ni2Rh
1.0
2.358 1.362 7.703
-2.358 1.362 7.703
0.000 -2.723 7.703
Tm Ni Rh
4 2 1
direct
0.124 0.124 0.124
0.375 0.375 0.375
0.625 0.625 0.625
0.876 0.876 0.876
0.249 0.249 0.249
0.751 0.751 0.751
0.500 0.500 0.500
```

Summary:
Total moment ... 0.00 μB/f.u.
Energy above the most stable polymorph in this dataset ... 0 meV/atom
Energy of formation ... -3.63 eV/f.u.

[3]
Tm5NiRh4 | PBE | optimized geometry

```
Tm5NiRh4
1.0
3.342 0.000 0.000
0.000 3.342 0.000
0.000 0.000 17.163
Tm Ni Rh
5 1 4
direct
0.000 0.000 0.000
0.000 0.000 0.201
0.000 0.000 0.401
0.000 0.000 0.599
0.000 0.000 0.799
0.500 0.500 0.500
0.500 0.500 0.101
0.500 0.500 0.302
0.500 0.500 0.698
0.500 0.500 0.899
```

Summary:
Total moment ... 0.00 μB/f.u.
Energy of formation ... -8.65 eV/f.u.

[4]
Tm6NiRh3 | PBE | optimized geometry

```
Tm6NiRh3
1.0
8.033 0.000 0.000
0.000 11.793 0.000
0.000 0.000 4.683
Tm Ni Rh
12 2 6
direct
0.001 0.242 0.000
0.156 0.410 0.500
0.175 0.080 0.500
0.325 0.580 0.000
0.344 0.910 0.000
0.499 0.742 0.500
0.501 0.258 0.500
0.656 0.090 0.000
0.675 0.420 0.000
0.825 0.920 0.500
0.844 0.590 0.500
0.999 0.758 0.000
0.000 0.500 0.000
0.500 0.000 0.500
0.000 0.000 0.000
0.167 0.838 0.500
0.333 0.338 0.000
0.500 0.500 0.500
0.667 0.662 0.000
0.833 0.162 0.500
```

Summary:
Total moment ... 0.00 μB/f.u.
Energy of formation ... -6.02 eV/f.u.

[5]
Tm4NiRh | PBE | optimized geometry

```
Tm4NiRh
1.0
4.369 -6.477 0.000
4.369 6.477 0.000
-3.529 0.000 5.044
Tm Ni Rh
8 2 2
direct
0.048 0.686 0.895
0.237 0.358 0.732
0.314 0.952 0.605
0.358 0.237 0.232
0.642 0.763 0.768
0.686 0.048 0.395
0.763 0.642 0.268
0.952 0.314 0.105
0.003 0.997 0.250
0.997 0.003 0.750
0.362 0.638 0.250
0.638 0.362 0.750
```

Summary:
Total moment ... 0.00 μB/f.u.
Energy above the most stable polymorph in this dataset ... 0 meV/atom
Energy of formation ... -2.96 eV/f.u.

[6]
TmNi6Rh2 | PBE | optimized geometry

```
TmNi6Rh2
1.0
-2.096 2.571 5.846
2.096 -2.571 5.846
2.096 2.571 -5.846
Tm Ni Rh
1 6 2
direct
0.000 0.000 0.000
0.052 0.301 0.751
0.283 0.500 0.783
0.450 0.699 0.751
0.550 0.301 0.249
0.717 0.500 0.217
0.948 0.699 0.249
0.384 0.884 0.500
0.616 0.116 0.500
```

Summary:
Total moment ... 3.94 μB/f.u.
Energy of formation ... 0.39 eV/f.u.

[7]
Tm4Ni2Rh | PBE | optimized geometry

```
Tm4Ni2Rh
1.0
-4.296 4.296 4.301
4.296 -4.296 4.301
4.296 4.296 -4.301
Tm Ni Rh
8 4 2
direct
0.196 0.253 0.557
0.196 0.638 0.943
0.253 0.196 0.057
0.362 0.804 0.557
0.638 0.196 0.443
0.747 0.804 0.943
0.804 0.362 0.057
0.804 0.747 0.443
0.000 0.500 0.500
0.500 0.000 0.000
0.500 0.500 0.000
0.500 0.500 0.500
0.125 0.875 0.250
0.875 0.125 0.750
```

Summary:
Total moment ... 0.00 μB/f.u.
Energy above the most stable polymorph in this dataset ... 98 meV/atom
Energy of formation ... -2.94 eV/f.u.

[8]
Tm4NiRh2 | PBE | optimized geometry

```
Tm4NiRh2
1.0
2.370 1.368 7.756
-2.370 1.368 7.756
0.000 -2.737 7.756
Tm Ni Rh
4 1 2
direct
0.125 0.125 0.125
0.375 0.375 0.375
0.625 0.625 0.625
0.875 0.875 0.875
0.000 0.000 0.000
0.251 0.251 0.251
0.749 0.749 0.749
```

Summary:
Total moment ... 0.00 μB/f.u.
Energy of formation ... -4.93 eV/f.u.